Computed, not measured: ErMg2Ir after structural relaxation at the PBE level of DFT.

a = 5.300 Å, b = 8.408 Å, c = 15.292 Å
α = 90.00°, β = 90.00°, γ = 90.00°
Positions (direct):
1 Ir 0.558 0.250 0.565
2 Ir 0.442 0.750 0.435
3 Mg 0.266 0.443 0.459
4 Mg 0.734 0.943 0.541
5 Er 0.247 0.750 0.608
6 Mg 0.045 0.557 0.789
7 Mg 0.045 0.943 0.789
8 Mg 0.955 0.057 0.211
9 Mg 0.455 0.557 0.289
10 Mg 0.545 0.443 0.711
11 Mg 0.266 0.057 0.459
12 Ir 0.240 0.250 0.812
13 Ir 0.942 0.250 0.065
14 Er 0.753 0.250 0.392
15 Mg 0.234 0.057 0.959
16 Mg 0.766 0.557 0.041
17 Er 0.557 0.750 0.863
18 Er 0.253 0.750 0.108
19 Mg 0.766 0.943 0.041
20 Mg 0.234 0.443 0.959
21 Ir 0.058 0.750 0.935
22 Ir 0.740 0.750 0.688
23 Mg 0.955 0.443 0.211
24 Ir 0.760 0.750 0.188
25 Er 0.443 0.250 0.137
26 Er 0.747 0.250 0.892
27 Mg 0.455 0.943 0.289
28 Er 0.057 0.250 0.637
29 Mg 0.734 0.557 0.541
30 Mg 0.545 0.057 0.711
31 Ir 0.260 0.250 0.312
32 Er 0.943 0.750 0.363

Summary:
* density: 7.96 g/cm3
* total energy: -4.652 eV per atom